Here is a relaxed structure of La6TcRh2 from Alexandria via LeMat-Bulk. Energies are from GGA-PBE.

Output
space group: P2_1/c
crystal system: monoclinic

Structure (POSCAR):
```
La6TcRh2
1.0
6.455 0.000 0.000
0.000 7.893 0.000
-6.406 0.000 10.349
La Tc Rh
12 2 4
Direct
0.081 0.187 0.436
0.081 0.313 0.936
0.277 0.656 0.432
0.277 0.844 0.932
0.395 0.062 0.258
0.395 0.438 0.758
0.605 0.562 0.242
0.605 0.938 0.742
0.723 0.156 0.068
0.723 0.344 0.568
0.919 0.687 0.064
0.919 0.813 0.564
0.500 0.000 0.500
0.500 0.500 0.000
0.061 0.091 0.728
0.061 0.409 0.228
0.939 0.591 0.772
0.939 0.909 0.272
```


Here is a relaxed structure of La2TcRh from Alexandria via LeMat-Bulk. Energies are from GGA-PBE.

Output
energy above the most stable polymorph in this dataset: 93 meV per atom
space group: Imm2
crystal system: orthorhombic

Structure (POSCAR):
```
La2TcRh
1.0
-1.721 2.275 6.055
1.721 -2.275 6.055
1.721 2.275 -6.055
La Tc Rh
2 1 1
Direct
0.000 0.000 0.000
0.721 0.221 0.500
0.449 0.449 0.000
0.282 0.782 0.500
```


Uncorrected energy values (in eV per atom) by entry order: -6.406; -6.965.